No. 1
The following is a DFT calculation (PBE-GGA) of a geometry-optimized AcDyAs2O8 structure.

Properties
V ... 13.4 A^3/atom
ΔE_f (raw) ... -2330.9 meV per atom

Cell: 5.196 5.196 6.984 Å, 111.84 111.84 90.00°
Element x y z (fractional)
Ac 0.750 0.250 0.500
Dy 0.000 0.000 0.000
As 0.500 0.500 0.000
As 0.250 0.750 0.500
O 0.722 0.819 0.144
O 0.423 0.325 0.144
O 0.580 0.709 0.661
O 0.081 0.952 0.661
O 0.048 0.420 0.339
O 0.291 0.919 0.339
O 0.181 0.577 0.856
O 0.675 0.278 0.856

No. 2
The following is a DFT calculation (PBE-GGA) of a geometry-optimized TeRu3Rh structure.

Properties
V ... 21.7 A^3/atom
ΔE_f (raw) ... 1834.6 meV per atom

Cell: 4.768 4.768 4.768 Å, 90.00 90.00 90.00°
Each line ends with the local moment (μB).
Element x y z (fractional)
Ru 0.000 0.500 0.000  1.02
Ru 0.000 0.000 0.500  1.19
Ru 0.500 0.000 0.000  1.02
Te 0.000 0.000 0.000  -0.04
Rh 0.500 0.500 0.500  1.54

No. 3
The following is a DFT calculation (PBE-GGA) of a geometry-optimized Hg2Pd7Pb structure.

Properties
Energy ... -0.2817 Ry per atom
V ... 22.4 A^3/atom

Cell: 4.331 7.928 7.928 Å, 124.49 90.00 90.00°
Element x y z (fractional)
Hg 0.500 0.698 0.302
Hg 0.500 0.302 0.698
Pd 0.000 0.812 0.188
Pd 0.000 0.188 0.812
Pd 0.500 0.081 0.282
Pd 0.500 0.919 0.718
Pd 0.500 0.282 0.081
Pd 0.500 0.718 0.919
Pd 0.500 0.500 0.500
Pb 0.000 0.000 0.000

No. 4
The following is a DFT calculation (PBE-GGA) of a geometry-optimized Zr2TaGa2 structure.

Properties
Energy ... -0.5481 Ry per atom
V ... 18.9 A^3/atom

Cell: 7.145 7.145 3.707 Å, 90.00 90.00 90.00°
Element x y z (fractional)
Ga 0.375 0.875 0.000
Ga 0.875 0.625 0.000
Ga 0.625 0.125 0.000
Ga 0.125 0.375 0.000
Zr 0.178 0.678 0.500
Zr 0.678 0.822 0.500
Zr 0.822 0.322 0.500
Zr 0.322 0.178 0.500
Ta 0.000 0.000 0.000
Ta 0.500 0.500 0.000

No. 5
The following is a DFT calculation (PBE-GGA) of a geometry-optimized ZrTa4 structure.

Properties
V ... 22.5 A^3/atom
Energy above the most stable polymorph in this dataset ... 9.65 eV/f.u.

Cell: 4.827 4.827 4.827 Å, 90.00 90.00 90.00°
Element x y z (fractional)
Zr 0.500 0.500 0.500
Ta 0.000 0.000 0.000
Ta 0.500 0.000 0.500
Ta 0.000 0.500 0.500
Ta 0.500 0.500 0.000

No. 6
The following is a DFT calculation (PBE-GGA) of a geometry-optimized Ta2TePt structure.

Properties
V ... 18.4 A^3/atom
ΔE_f (raw) ... 116.8 meV per atom

Cell: 4.365 4.109 4.109 Å, 90.00 90.00 90.00°
Element x y z (fractional)
Pt 0.500 0.000 0.500
Ta 0.000 0.000 0.000
Ta 0.000 0.500 0.500
Te 0.500 0.500 0.000

Copy entry 5 word for word.
The following is a DFT calculation (PBE-GGA) of a geometry-optimized ZrTa4 structure.

Properties
V ... 22.5 A^3/atom
Energy above the most stable polymorph in this dataset ... 9.65 eV/f.u.

Cell: 4.827 4.827 4.827 Å, 90.00 90.00 90.00°
Element x y z (fractional)
Zr 0.500 0.500 0.500
Ta 0.000 0.000 0.000
Ta 0.500 0.000 0.500
Ta 0.000 0.500 0.500
Ta 0.500 0.500 0.000

Question: Which formula does entry 2 have?
Answer: TeRu3Rh